(1)
Entry from Alexandria via LeMat-Bulk: NiAuSe2N after structural relaxation (PBE).

```
NiAuSe2N
1.0
-4.367 2.567 1.509
-2.486 -4.618 0.661
1.151 -0.115 3.527
Au N Ni Se
1 1 1 2
Direct
0.000 0.000 0.000
0.000 0.000 0.500
0.500 0.500 0.500
0.500 0.000 0.000
0.000 0.500 0.000
```

For the energy relative to the lowest polymorph listed for this composition, the calculation gives 748 meV per atom. As for the space-group type: P4/mmm, No. 123. The total energy is -3.499 eV/atom. The calculation puts the formation energy without anion corrections at 6.9 eV per formula unit. The calculation puts the spin magnetization at 0.2990 μB/atom.

***

(2)
Entry from Alexandria via LeMat-Bulk: Ba3CeB2O8 after structural relaxation (PBE).

```
Ba3CeB2O8
1.0
-3.294 -4.556 -0.453
5.324 -0.536 1.782
-2.250 0.930 7.002
Ba O B Ce
3 8 2 1
Direct
0.000 0.000 0.000
0.333 0.667 0.711
0.667 0.333 0.289
0.813 0.187 0.679
0.813 0.626 0.679
0.626 0.813 0.321
0.187 0.813 0.321
0.667 0.333 0.949
0.374 0.187 0.679
0.187 0.374 0.321
0.333 0.667 0.051
0.667 0.333 0.758
0.333 0.667 0.242
0.000 0.000 0.500
```

As for the space-group type: P-3m1, No. 164. The total energy is -7.403 eV/atom. The calculation puts the formation energy without anion corrections at -38.9 eV per formula unit. The calculation puts the spin magnetization at 0.0000 μB/atom.